(1)
A relaxed structure of Er2MnS4, computed with PBE.

## Properties
* magnetization: 5.000 μB per formula unit
* raw total energy: -185.3 eV/cell
* volume: 23.87 A^3/atom
* energy relative to the elements, uncorrected: -1.646 eV per atom

a b c (Å): 7.7898 7.7899 13.4934
angles (deg): 106.80 90.00 120.00
Last column: nearest neighbours and their distance in Å.
Fractional coordinates of all 28 atoms:
S  0.1302  0.7603  0.3766  1 Mn 2.45, 3 Er 2.72
S  0.1266  0.7533  0.8802  1 Mn 2.45, 3 Er 2.72
S  0.1301  0.2464  0.3768  1 Mn 2.45, 3 Er 2.72
S  0.8698  0.2397  0.6234  1 Mn 2.45, 3 Er 2.72
S  0.3699  0.2397  0.1234  1 Mn 2.45, 3 Er 2.72
S  0.3836  0.7536  0.6232  1 Mn 2.45, 3 Er 2.72
S  0.6300  0.2464  0.8768  1 Mn 2.45, 3 Er 2.72
S  0.8699  0.7536  0.6232  1 Mn 2.45, 3 Er 2.72
S  0.8734  0.2467  0.1198  1 Mn 2.45, 3 Er 2.72
S  0.3700  0.7536  0.1232  1 Mn 2.45, 3 Er 2.72
S  0.1163  0.2464  0.8768  1 Mn 2.45, 3 Er 2.72
S  0.3733  0.2467  0.6198  1 Mn 2.45, 3 Er 2.72
S  0.8837  0.7536  0.1232  1 Mn 2.45, 3 Er 2.72
S  0.6267  0.7533  0.3802  1 Mn 2.45, 3 Er 2.72
S  0.6301  0.7603  0.8766  1 Mn 2.45, 3 Er 2.72
S  0.6164  0.2464  0.3768  1 Mn 2.45, 3 Er 2.72
Er  0.0000  0.0000  0.5000  6 S 2.72
Er  0.5000  0.5000  0.5000  6 S 2.72
Er  0.0000  0.5000  0.0000  6 S 2.72
Er  0.0000  0.0000  0.0000  6 S 2.72
Er  0.2501  0.0000  0.2500  6 S 2.72
Er  0.5000  0.0000  0.5000  6 S 2.72
Er  0.5000  0.0000  0.0000  6 S 2.72
Er  0.7499  0.0000  0.7500  6 S 2.72
Mn  0.0626  0.6252  0.6875  4 S 2.45
Mn  0.5626  0.6252  0.1875  4 S 2.45
Mn  0.9374  0.3748  0.3125  4 S 2.45
Mn  0.4374  0.3748  0.8125  4 S 2.45

(2)
A relaxed structure of Er2MnS4, computed with PBE.

## Properties
* magnetization: 5.001 μB per formula unit
* raw total energy: -92.2 eV/cell
* volume: 21.16 A^3/atom
* energy relative to the elements, uncorrected: -1.610 eV per atom

a b c (Å): 6.4518 6.4518 12.7639
angles (deg): 90.00 90.00 146.12
Last column: nearest neighbours and their distance in Å.
Fractional coordinates of all 14 atoms:
Mn  0.1250  0.8750  0.0542  6 S 2.52-2.64
Mn  0.8750  0.1250  0.5542  6 S 2.52-2.64
S  0.5144  0.4856  0.5060  2 Mn 2.62, 2 Er 2.68
S  0.7910  0.2090  0.3641  1 Mn 2.64, 4 Er 2.74-2.91
S  0.2090  0.7910  0.8641  1 Mn 2.64, 4 Er 2.74-2.91
S  0.7594  0.2406  0.1043  2 Mn 2.59, 3 Er 2.69-2.78
S  0.2406  0.7594  0.6043  2 Mn 2.59, 3 Er 2.69-2.78
S  0.0370  0.9630  0.2321  1 Mn 2.52, 3 Er 2.69-2.70
S  0.4856  0.5144  0.0060  2 Mn 2.62, 2 Er 2.68
S  0.9630  0.0370  0.7321  1 Mn 2.52, 3 Er 2.69-2.70
Er  0.6189  0.3811  0.7137  7 S 2.70-2.95
Er  0.8605  0.1395  0.9176  6 S 2.68-2.74
Er  0.1395  0.8605  0.4176  6 S 2.68-2.74
Er  0.3811  0.6189  0.2137  7 S 2.70-2.95

(3)
A relaxed structure of Er2MnS, computed with PBE.

## Properties
* magnetization: 3.417 μB per formula unit
* raw total energy: -23.7 eV/cell
* volume: 24.82 A^3/atom
* energy relative to the elements, uncorrected: -0.328 eV per atom

a b c (Å): 3.5527 3.5527 9.3099
angles (deg): 79.00 79.00 60.00
Last column: nearest neighbours and their distance in Å.
Fractional coordinates of all 4 atoms:
S  0.5000  0.5000  0.5000  6 Er 2.66
Er  0.8954  0.8954  0.3137  3 S 2.66, 1 Mn 2.85
Er  0.1046  0.1046  0.6863  3 S 2.66, 1 Mn 2.85
Mn  0.0000  0.0000  0.0000  2 Er 2.85

(4)
A relaxed structure of Er4MnS7, computed with PBE.

## Properties
* magnetization: 5.000 μB per formula unit
* raw total energy: -77.8 eV/cell
* volume: 21.54 A^3/atom
* energy relative to the elements, uncorrected: -1.793 eV per atom

a b c (Å): 6.5087 6.5087 11.3863
angles (deg): 75.66 75.66 33.70
Last column: nearest neighbours and their distance in Å.
Fractional coordinates of all 12 atoms:
S  0.6596  0.6596  0.9487  4 Er 2.70-2.85
S  0.2678  0.2678  0.3525  2 Mn 2.63, 3 Er 2.69-2.84
S  0.3385  0.3385  0.0512  5 Er 2.70-2.97
S  0.7437  0.7437  0.6404  1 Mn 2.65, 4 Er 2.75-2.88
S  0.4953  0.4953  0.4964  2 Mn 2.60, 2 Er 2.65
S  0.9624  0.9624  0.7850  4 Er 2.67-2.70
S  0.0351  0.0351  0.2248  1 Mn 2.52, 3 Er 2.64-2.69
Er  0.3064  0.3064  0.8017  7 S 2.68-2.97
Er  0.6930  0.6930  0.2046  6 S 2.69-2.87
Er  0.9994  0.9994  0.0060  6 S 2.64-2.70
Er  0.1139  0.1139  0.5671  6 S 2.65-2.75
Mn  0.8849  0.8849  0.4217  6 S 2.52-2.65

(5)
A relaxed structure of ErMnS, computed with PBE.

## Properties
* magnetization: 3.609 μB per formula unit
* raw total energy: -41.8 eV/cell
* volume: 19.55 A^3/atom
* energy relative to the elements, uncorrected: -1.016 eV per atom

a b c (Å): 3.7352 3.7352 8.4094
angles (deg): 90.00 90.00 90.00
Last column: nearest neighbours and their distance in Å.
Fractional coordinates of all 6 atoms:
Mn  0.5000  0.0000  0.9377  1 S 2.50
Mn  0.0000  0.5000  0.0623  1 S 2.50
S  0.0000  0.5000  0.3593  1 Mn 2.50, 4 Er 2.70
S  0.5000  0.0000  0.6407  1 Mn 2.50, 4 Er 2.70
Er  0.0000  0.5000  0.7044  5 S 2.70-2.90, 1 Mn 3.01
Er  0.5000  0.0000  0.2956  5 S 2.70-2.90, 1 Mn 3.01

(6)
A relaxed structure of ErMn4S8, computed with PBE.

## Properties
* magnetization: 12.006 μB per formula unit
* raw total energy: -84.6 eV/cell
* volume: 20.04 A^3/atom
* energy relative to the elements, uncorrected: -0.799 eV per atom

a b c (Å): 6.8909 6.8909 7.4816
angles (deg): 62.58 62.58 60.00
Last column: nearest neighbours and their distance in Å.
Fractional coordinates of all 13 atoms:
S  0.7600  0.2712  0.2089  3 Mn 2.37-2.43
S  0.7332  0.7332  0.8004  3 Mn 2.36
S  0.7288  0.2400  0.7911  3 Mn 2.37-2.43
S  0.2400  0.2400  0.7911  3 Mn 2.37-2.43
S  0.7600  0.7600  0.2089  3 Mn 2.37-2.43
S  0.2668  0.2668  0.1996  3 Mn 2.36
S  0.2400  0.7288  0.7911  3 Mn 2.37-2.43
S  0.2712  0.7600  0.2089  3 Mn 2.37-2.43
Er  0.5000  0.5000  0.5000  6 S 2.68
Mn  0.0000  0.5000  0.0000  6 S 2.36-2.37
Mn  0.5000  0.0000  0.0000  6 S 2.36-2.37
Mn  0.5000  0.5000  0.0000  6 S 2.36-2.37
Mn  0.0000  0.0000  0.0000  6 S 2.43

(7)
A relaxed structure of ErMnSn2S5, computed with PBE.

## Properties
* magnetization: 3.999 μB per formula unit
* raw total energy: -100.1 eV/cell
* volume: 24.69 A^3/atom
* energy relative to the elements, uncorrected: -0.851 eV per atom

a b c (Å): 3.9089 9.1172 12.7681
angles (deg): 90.00 90.00 102.38
Last column: nearest neighbours and their distance in Å.
Fractional coordinates of all 18 atoms:
S  0.7007  0.4014  0.1758  1 Sn 2.67, 2 Er 2.72
S  0.2993  0.5986  0.6758  1 Sn 2.67, 2 Er 2.72
S  0.6823  0.3647  0.8817  1 Mn 2.30
S  0.3442  0.6884  0.0247  1 Er 2.68, 2 Sn 2.70
S  0.3177  0.6353  0.3817  1 Mn 2.30
S  0.0385  0.0770  0.0104  2 Mn 2.29
S  0.9615  0.9230  0.5104  2 Mn 2.29
S  0.5218  0.0435  0.2807  1 Mn 2.25
S  0.6558  0.3116  0.5247  1 Er 2.68, 2 Sn 2.70
S  0.4782  0.9565  0.7807  1 Mn 2.25
Mn  0.5560  0.1120  0.9200  4 S 2.25-2.30
Mn  0.4440  0.8880  0.4200  4 S 2.25-2.30
Er  0.8061  0.6122  0.5275  6 S 2.68-2.78
Er  0.1939  0.3878  0.0275  6 S 2.68-2.78
Sn  0.1196  0.2391  0.3334  2 S 2.70
Sn  0.1494  0.2989  0.6698  3 S 2.67-2.70
Sn  0.8506  0.7011  0.1698  3 S 2.67-2.70
Sn  0.8804  0.7609  0.8334  2 S 2.70

(8)
A relaxed structure of Er2MnTl3S6, computed with PBE.

## Properties
* magnetization: 4.005 μB per formula unit
* raw total energy: -63.5 eV/cell
* volume: 24.48 A^3/atom
* energy relative to the elements, uncorrected: -1.110 eV per atom

a b c (Å): 6.6749 6.6749 7.8777
angles (deg): 99.08 99.08 118.40
Last column: nearest neighbours and their distance in Å.
Fractional coordinates of all 12 atoms:
Tl  0.1724  0.8276  0.5000  6 S 3.11-3.35
Tl  0.5000  0.5000  0.5000  6 S 3.18
Tl  0.8276  0.1724  0.5000  6 S 3.11-3.35
Er  0.6645  0.3355  0.0000  6 S 2.71-2.76
Er  0.3355  0.6645  0.0000  6 S 2.71-2.76
S  0.9382  0.6360  0.8193  1 Mn 2.42, 1 Er 2.71
S  0.7405  0.7405  0.2127  2 Er 2.71, 1 Mn 2.79
S  0.0618  0.3640  0.1807  1 Mn 2.42, 1 Er 2.71
S  0.6360  0.9382  0.8193  1 Mn 2.42, 1 Er 2.71
S  0.2595  0.2595  0.7873  2 Er 2.71, 1 Mn 2.79
S  0.3640  0.0618  0.1807  1 Mn 2.42, 1 Er 2.71
Mn  0.0000  0.0000  0.0000  4 S 2.42

(9)
A relaxed structure of Y2ErMnS6, computed with PBE.

## Properties
* magnetization: 4.000 μB per formula unit
* raw total energy: -67.5 eV/cell
* volume: 23.36 A^3/atom
* energy relative to the elements, uncorrected: -1.606 eV per atom

a b c (Å): 6.8730 6.5819 7.2717
angles (deg): 61.43 59.45 59.77
Last column: nearest neighbours and their distance in Å.
Fractional coordinates of all 10 atoms:
S  0.9629  0.5756  0.2478  1 Mn 2.40
S  0.5899  0.1986  0.2674  1 Mn 2.69, 2 Y 2.69-2.72, 1 Er 2.71
S  0.2164  0.9564  0.2382  1 Mn 2.40
S  0.6880  0.1162  0.7725  1 Mn 2.43, 1 Er 2.68
S  0.1081  0.4371  0.7540  1 Er 2.62, 2 Y 2.66-2.72, 1 Mn 2.71
S  0.4265  0.6868  0.7747  1 Mn 2.42, 1 Er 2.69
Mn  0.3244  0.3211  0.0334  5 S 2.40-2.69
Er  0.8211  0.8160  0.5469  6 S 2.62-2.79
Y  0.5182  0.5272  0.4353  6 S 2.69-2.84
Y  0.0061  0.0265  0.9450  6 S 2.66-2.89

(10)
A relaxed structure of ErMnZnS4, computed with PBE.

## Properties
* magnetization: 3.990 μB per formula unit
* raw total energy: -78.3 eV/cell
* volume: 20.98 A^3/atom
* energy relative to the elements, uncorrected: -1.088 eV per atom

a b c (Å): 7.5170 7.4201 7.4201
angles (deg): 61.46 59.57 59.57
Last column: nearest neighbours and their distance in Å.
Fractional coordinates of all 14 atoms:
S  0.7407  0.2358  0.2828  1 Zn 2.40, 2 Mn 2.55, 1 Er 2.68
S  0.7347  0.7659  0.2659  1 Zn 2.37, 1 Mn 2.41
S  0.7407  0.7828  0.7358  1 Zn 2.40, 2 Mn 2.55, 1 Er 2.68
S  0.7666  0.2341  0.7341  1 Zn 2.37, 1 Mn 2.41
S  0.2593  0.7642  0.7172  1 Zn 2.40, 2 Mn 2.55, 1 Er 2.68
S  0.2593  0.2172  0.2642  1 Zn 2.40, 2 Mn 2.55, 1 Er 2.68
S  0.2334  0.7659  0.2659  1 Zn 2.37, 1 Mn 2.41
S  0.2653  0.2341  0.7341  1 Zn 2.37, 1 Mn 2.41
Mn  0.0000  0.0000  0.5000  6 S 2.41-2.55
Mn  0.5000  0.0000  0.5000  6 S 2.41-2.55
Er  0.0000  0.0000  0.0000  6 S 2.67-2.68
Er  0.0000  0.5000  0.5000  6 S 2.67-2.68
Zn  0.3770  0.3730  0.8730  4 S 2.37-2.40
Zn  0.6230  0.6270  0.1270  4 S 2.37-2.40